[1]
Density functional theory data (PBE) for a relaxed La2Pm2DyTm crystal.

Lattice parameters (Å, degrees): 7.1067 5.7406 9.9423 90.00 90.00 90.00
Closest atoms and distances in Å follow each position.
Atoms (fractional coordinates):
La: 0.0000 0.0000 0.0000  6 La 3.55-3.81, 6 Pm 3.75-3.76, 2 Dy 3.86
La: 0.2500 0.5000 0.1787  5 Pm 3.25-3.56
La: 0.5000 0.0000 0.0000  6 La 3.55-3.81, 6 Pm 3.75-3.76, 2 Dy 3.86
La: 0.7500 0.5000 0.8213  5 Pm 3.25-3.56
Pm: 0.2500 0.0000 0.3320  3 Dy 3.22-3.56, 2 La 3.25
Pm: 0.2500 0.5000 0.8344  2 Dy 3.38, 7 La 3.42-3.76, 2 Tm 3.77
Pm: 0.7500 0.0000 0.6680  3 Dy 3.22-3.56, 2 La 3.25
Pm: 0.7500 0.5000 0.1656  2 Dy 3.38, 7 La 3.42-3.76, 2 Tm 3.77
Dy: 0.2500 0.0000 0.6554  5 Pm 3.22-3.56
Dy: 0.7500 0.0000 0.3446  5 Pm 3.22-3.56
Tm: 0.0000 0.5000 0.5000  2 Tm 3.55, 2 La 3.66, 4 Dy 3.71, 6 Pm 3.77
Tm: 0.5000 0.5000 0.5000  2 Tm 3.55, 2 La 3.66, 4 Dy 3.71, 6 Pm 3.77

## Properties
calculated formation energy	57	meV per atom
SG	No. 51



[2]
Density functional theory data (PBE) for a relaxed LiTeN2O crystal.

Lattice parameters (Å, degrees): 3.9618 3.9618 4.0184 90.00 90.00 90.00
Closest atoms and distances in Å follow each position.
Atoms (fractional coordinates):
Li: 0.0000 0.0000 0.0000  4 O 2.80, 8 N 2.82
Te: 0.5000 0.5000 0.5000  4 N 1.98, 2 O 2.01
N: 0.0000 0.5000 0.5000  2 Te 1.98
N: 0.5000 0.0000 0.5000  2 Te 1.98
O: 0.5000 0.5000 0.0000  2 Te 2.01

## Properties
SG	No. 123



[3]
Density functional theory data (PBE) for a relaxed Tb5In2Pb crystal.

Lattice parameters (Å, degrees): 8.8743 8.8743 8.8743 123.22 123.22 84.52
Closest atoms and distances in Å follow each position.
Atoms (fractional coordinates):
Tb: 0.0000 0.0000 0.0000  4 In 3.25, 2 Pb 3.28
Tb: 0.0053 0.5053 0.8113  3 In 3.12-3.20, 2 Pb 3.45, 1 Tb 3.45
Tb: 0.1940 0.0053 0.5000  3 In 3.12-3.20, 2 Pb 3.45, 1 Tb 3.45
Tb: 0.3060 0.8060 0.8113  3 In 3.12-3.20, 2 Pb 3.45, 1 Tb 3.45
Tb: 0.4947 0.3060 0.5000  3 In 3.12-3.20, 2 Pb 3.45, 1 Tb 3.45
Tb: 0.5000 0.5000 0.0000  4 In 3.25, 2 Pb 3.28
Tb: 0.5053 0.6940 0.5000  3 In 3.12-3.20, 2 Pb 3.45, 1 Tb 3.45
Tb: 0.6940 0.1940 0.1887  3 In 3.12-3.20, 2 Pb 3.45, 1 Tb 3.45
Tb: 0.8060 0.9947 0.5000  3 In 3.12-3.20, 2 Pb 3.45, 1 Tb 3.45
Tb: 0.9947 0.4947 0.1887  3 In 3.12-3.20, 2 Pb 3.45, 1 Tb 3.45
In: 0.1416 0.3584 0.5000  8 Tb 3.12-3.25, 1 In 3.38
In: 0.3584 0.8584 0.2167  8 Tb 3.12-3.25, 1 In 3.38
In: 0.6416 0.1416 0.7833  8 Tb 3.12-3.25, 1 In 3.38
In: 0.8584 0.6416 0.5000  8 Tb 3.12-3.25, 1 In 3.38
Pb: 0.2500 0.2500 0.0000  10 Tb 3.28-3.45
Pb: 0.7500 0.7500 0.0000  10 Tb 3.28-3.45

## Properties
calculated formation energy	-415	meV per atom
SG	No. 140



[4]
Density functional theory data (PBE) for a relaxed Dy2PuNb crystal.

Lattice parameters (Å, degrees): 11.6725 11.6725 11.6725 15.94 15.94 15.94
Closest atoms and distances in Å follow each position.
Atoms (fractional coordinates):
Dy: 0.0846 0.0846 0.0846  1 Nb 2.92, 6 Dy 3.24
Dy: 0.9154 0.9154 0.9154  1 Nb 2.92, 6 Dy 3.24
Pu: 0.5000 0.5000 0.5000  6 Pu 3.24, 6 Dy 3.40
Nb: 0.0000 0.0000 0.0000  2 Dy 2.92, 6 Nb 3.24

## Properties
calculated formation energy	566	meV per atom
SG	No. 166



[5]
Density functional theory data (PBE) for a relaxed KNaInGa crystal.

Lattice parameters (Å, degrees): 5.3609 5.3609 5.3609 60.00 60.00 60.00
Closest atoms and distances in Å follow each position.
Atoms (fractional coordinates):
K: 0.0000 0.0000 0.0000  4 Na 3.28, 4 Ga 3.28
Na: 0.7500 0.7500 0.7500  4 In 3.28, 4 K 3.28
In: 0.5000 0.5000 0.5000  4 Na 3.28, 4 Ga 3.28
Ga: 0.2500 0.2500 0.2500  4 In 3.28, 4 K 3.28

## Properties
calculated formation energy	-24	meV per atom
SG	No. 216



[6]
Density functional theory data (PBE) for a relaxed K2Rb14Au9 crystal.

Lattice parameters (Å, degrees): 10.3064 10.3064 13.6871 90.00 90.00 120.00
Closest atoms and distances in Å follow each position.
Atoms (fractional coordinates):
K: 0.3333 0.6667 0.2745  4 Au 3.28
K: 0.6667 0.3333 0.7255  4 Au 3.28
Rb: 0.0000 0.0000 0.2620  4 Au 3.48-3.59
Rb: 0.0000 0.0000 0.7380  4 Au 3.48-3.59
Rb: 0.0365 0.6716 0.9006  4 Au 3.58-3.84
Rb: 0.0790 0.4002 0.6057  4 Au 3.52-3.65
Rb: 0.3212 0.9210 0.6057  4 Au 3.52-3.65
Rb: 0.3284 0.3650 0.9006  4 Au 3.58-3.84
Rb: 0.3650 0.0365 0.0994  4 Au 3.58-3.84
Rb: 0.4002 0.3212 0.3943  4 Au 3.52-3.65
Rb: 0.5998 0.6788 0.6057  4 Au 3.52-3.65
Rb: 0.6350 0.9635 0.9006  4 Au 3.58-3.84
Rb: 0.6716 0.6350 0.0994  4 Au 3.58-3.84
Rb: 0.6788 0.0790 0.3943  4 Au 3.52-3.65
Rb: 0.9210 0.5998 0.3943  4 Au 3.52-3.65
Rb: 0.9635 0.3284 0.0994  4 Au 3.58-3.84
Au: 0.0000 0.0000 0.0000  8 Rb 3.59-3.84
Au: 0.0618 0.3424 0.3516  1 K 3.28, 6 Rb 3.48-3.65
Au: 0.2806 0.9382 0.3516  1 K 3.28, 6 Rb 3.48-3.65
Au: 0.3333 0.6667 0.0345  1 K 3.28, 3 Rb 3.59
Au: 0.3424 0.2806 0.6484  1 K 3.28, 6 Rb 3.48-3.65
Au: 0.6576 0.7194 0.3516  1 K 3.28, 6 Rb 3.48-3.65
Au: 0.6667 0.3333 0.9655  1 K 3.28, 3 Rb 3.59
Au: 0.7194 0.0618 0.6484  1 K 3.28, 6 Rb 3.48-3.65
Au: 0.9382 0.6576 0.6484  1 K 3.28, 6 Rb 3.48-3.65

## Properties
calculated formation energy	-184	meV per atom
SG	No. 147



[7]
Density functional theory data (PBE) for a relaxed Ac4Sb2PO2 crystal.

Lattice parameters (Å, degrees): 8.3831 8.3831 8.1292 109.88 109.88 29.39
Closest atoms and distances in Å follow each position.
Atoms (fractional coordinates):
Ac: 0.0286 0.0286 0.2598  1 O 2.48
Ac: 0.2912 0.2912 0.3377  3 O 2.51-2.52
Ac: 0.7088 0.7088 0.6623  3 O 2.51-2.52
Ac: 0.9714 0.9714 0.7402  1 O 2.48
Sb: 0.3664 0.3664 0.9622  7 Ac 3.55-3.66
Sb: 0.6336 0.6336 0.0378  7 Ac 3.55-3.66
P: 0.5000 0.5000 0.5000  6 Ac 3.03-3.17
O: 0.1785 0.1785 0.4861  4 Ac 2.48-2.52
O: 0.8215 0.8215 0.5139  4 Ac 2.48-2.52

## Properties
SG	No. 12



[8]
Density functional theory data (PBE) for a relaxed AcNpSb3 crystal.

Lattice parameters (Å, degrees): 5.6982 5.6982 5.6982 90.00 90.00 90.00
Closest atoms and distances in Å follow each position.
Atoms (fractional coordinates):
Ac: 0.0000 0.0000 0.0000  12 Sb 4.03
Np: 0.5000 0.5000 0.5000  6 Sb 2.85
Sb: 0.0000 0.5000 0.5000  2 Np 2.85
Sb: 0.5000 0.0000 0.5000  2 Np 2.85
Sb: 0.5000 0.5000 0.0000  2 Np 2.85

## Properties
SG	No. 221



[9]
Density functional theory data (PBE) for a relaxed Mn4Mo5 crystal.

Lattice parameters (Å, degrees): 7.6264 7.6264 5.0114 90.00 90.00 120.00
Closest atoms and distances in Å follow each position.
Atoms (fractional coordinates):
Mn: 0.0000 0.0000 0.0000  6 Mo 2.50, 2 Mn 2.51
Mn: 0.0000 0.0000 0.5000  6 Mo 2.50, 2 Mn 2.51
Mn: 0.0000 0.3888 0.2500  9 Mo 2.50-2.67
Mn: 0.0000 0.6112 0.7500  9 Mo 2.50-2.67
Mn: 0.3888 0.0000 0.2500  9 Mo 2.50-2.67
Mn: 0.3888 0.3888 0.7500  9 Mo 2.50-2.67
Mn: 0.6112 0.0000 0.7500  9 Mo 2.50-2.67
Mn: 0.6112 0.6112 0.2500  9 Mo 2.50-2.67
Mo: 0.0000 0.2839 0.7500  7 Mn 2.50-2.66
Mo: 0.0000 0.7161 0.2500  7 Mn 2.50-2.66
Mo: 0.2839 0.0000 0.7500  7 Mn 2.50-2.66
Mo: 0.2839 0.2839 0.2500  7 Mn 2.50-2.66
Mo: 0.3333 0.6667 0.0000  2 Mo 2.51, 6 Mn 2.67
Mo: 0.3333 0.6667 0.5000  2 Mo 2.51, 6 Mn 2.67
Mo: 0.6667 0.3333 0.0000  2 Mo 2.51, 6 Mn 2.67
Mo: 0.6667 0.3333 0.5000  2 Mo 2.51, 6 Mn 2.67
Mo: 0.7161 0.0000 0.2500  7 Mn 2.50-2.66
Mo: 0.7161 0.7161 0.7500  7 Mn 2.50-2.66

## Properties
calculated formation energy	250	meV per atom
SG	No. 193



[10]
Density functional theory data (PBE) for a relaxed GaSbNO2 crystal.

Lattice parameters (Å, degrees): 3.8540 3.8540 3.9771 90.00 90.00 90.00
Closest atoms and distances in Å follow each position.
Atoms (fractional coordinates):
Ga: 0.0000 0.0000 0.0000  4 O 1.93, 2 N 1.99
Sb: 0.5000 0.5000 0.5000  4 N 2.73, 8 O 2.77
N: 0.0000 0.0000 0.5000  2 Ga 1.99
O: 0.0000 0.5000 0.0000  2 Ga 1.93
O: 0.5000 0.0000 0.0000  2 Ga 1.93

## Properties
SG	No. 123



[11]
Density functional theory data (PBE) for a relaxed YBe2Os crystal.

Lattice parameters (Å, degrees): 4.3217 4.3217 3.1315 90.00 90.00 101.32
Closest atoms and distances in Å follow each position.
Atoms (fractional coordinates):
Y: 0.0000 0.0000 0.0000  8 Be 2.67, 2 Os 2.74
Be: 0.0000 0.5000 0.5000  4 Os 2.67, 4 Y 2.67, 2 Be 2.74
Be: 0.5000 0.0000 0.5000  4 Os 2.67, 4 Y 2.67, 2 Be 2.74
Os: 0.5000 0.5000 0.0000  8 Be 2.67, 2 Y 2.74

## Properties
calculated formation energy	315	meV per atom
SG	No. 65



[12]
Density functional theory data (PBE) for a relaxed CsSc2I6 crystal.

Lattice parameters (Å, degrees): 7.7782 7.7782 13.1885 106.24 106.24 31.92
Closest atoms and distances in Å follow each position.
Atoms (fractional coordinates):
Cs: 0.0000 0.0000 0.0000  6 I 3.84-3.88, 2 Cs 4.28
Sc: 0.3161 0.3161 0.6509  6 I 2.82-3.04
Sc: 0.6839 0.6839 0.3491  6 I 2.82-3.04
I: 0.0418 0.0418 0.3047  2 Sc 2.95
I: 0.2887 0.2887 0.8534  1 Sc 2.82
I: 0.3292 0.3292 0.4255  3 Sc 3.01-3.04
I: 0.6708 0.6708 0.5745  3 Sc 3.01-3.04
I: 0.7113 0.7113 0.1466  1 Sc 2.82
I: 0.9582 0.9582 0.6953  2 Sc 2.95

## Properties
SG	No. 12



Across the entries above, raw total energy takes the values -28.085; -23.858; -35.660; -31.342; -8.276; -49.848; -57.948; -29.863; -88.588; -26.535; -23.886; -34.001 eV per formula unit, respectively.